The following is a DFT calculation (SCAN) of Sr2HgAs2 at its PBEsol-relaxed geometry.

energy relative to the elements = -0.95 eV per atom
M_tot = 0.0 μB per formula unit
DOS at the Fermi energy = 0.209 states/eV/atom

Unit cell a=7.8620 b=7.8620 c=4.3165 alpha=90.00 beta=90.00 gamma=90.00
With the nearest neighbours (Å) after each atom.
Fractional positions:
1 Sr 0.1825 0.3175 0.0000  6 As 3.15-3.21
2 Sr 0.3175 0.8175 0.0000  6 As 3.15-3.21
3 Sr 0.6825 0.1825 0.0000  6 As 3.15-3.21
4 Sr 0.8175 0.6825 0.0000  6 As 3.15-3.21
5 Hg 0.0000 0.0000 0.5000  4 As 3.18
6 Hg 0.5000 0.5000 0.5000  4 As 3.18
7 As 0.1112 0.6112 0.5000  1 As 2.47
8 As 0.3888 0.1112 0.5000  1 As 2.47
9 As 0.6112 0.8888 0.5000  1 As 2.47
10 As 0.8888 0.3888 0.5000  1 As 2.47

---

The following is a DFT calculation (SCAN) of HfSbN2 at its PBEsol-relaxed geometry.

M_tot = 0.0 μB per formula unit
raw formation energy = -1.7 eV/f.u.
DOS at the Fermi energy = 0.425 states/eV/atom

Unit cell a=6.0607 b=6.0607 c=6.0607 alpha=127.89 beta=127.89 gamma=76.80
With the nearest neighbours (Å) after each atom.
Fractional positions:
1 Hf 0.0000 0.0000 0.0000  4 N 2.05
2 Hf 0.7500 0.2500 0.5000  4 N 2.05
3 Sb 0.2500 0.7500 0.5000  4 N 2.44
4 Sb 0.5000 0.5000 0.0000  4 N 2.44
5 N 0.0636 0.6250 0.9386  2 Hf 2.05
6 N 0.3750 0.3136 0.4386  2 Hf 2.05
7 N 0.6864 0.1250 0.0614  2 Hf 2.05
8 N 0.8750 0.9364 0.5614  2 Hf 2.05